No. 1
# Ta4W3

Ta4W3 after structural relaxation (PBE-GGA, the Alexandria database).

- total energy (eV/cell) = -86.300
- spin magnetization (μB/f.u.) = 0.0
- DFT formation energy (eV/atom) = -0.0043
- relative energy among the computed polymorphs (meV/atom) = 78

a = 5.2468 Å, b = 5.2468 Å, c = 5.2624 Å
α = 90.00°, β = 90.00°, γ = 60.00°
Closest atoms and distances in Å follow each position.
Sites, in units of the cell vectors:
Ta1 0.3333 0.3333 0.5000  9 Ta 3.03-3.30, 6 W 3.04
Ta2 0.6667 0.6667 0.5000  9 Ta 3.03-3.30, 6 W 3.04
Ta3 0.0000 0.0000 0.2527  2 Ta 2.60-2.66
Ta4 0.0000 0.0000 0.7473  2 Ta 2.60-2.66
W1 0.5000 0.5000 0.0000  4 W 2.62
W2 0.5000 0.0000 0.0000  4 W 2.62
W3 0.0000 0.5000 0.0000  4 W 2.62

---

No. 2
# Ta5W

Ta5W after structural relaxation (PBE-GGA, the Alexandria database).

- total energy (eV/cell) = -72.429
- spin magnetization (μB/f.u.) = 0.0
- DFT formation energy (eV/atom) = -0.0354
- relative energy among the computed polymorphs (meV/atom) = 1

a = 3.2844 Å, b = 4.6555 Å, c = 7.3725 Å
α = 108.41°, β = 90.00°, γ = 90.00°
Closest atoms and distances in Å follow each position.
Sites, in units of the cell vectors:
Ta1 0.5000 0.1619 0.3238  2 W 2.80, 6 Ta 2.85-2.88
Ta2 0.0000 0.3312 0.6625  8 Ta 2.85-2.88
W1 0.0000 0.0000 0.0000  8 Ta 2.80-2.85
Ta3 0.0000 0.6688 0.3375  8 Ta 2.85-2.88
Ta4 0.5000 0.5000 0.0000  4 W 2.85, 4 Ta 2.88
Ta5 0.5000 0.8381 0.6762  2 W 2.80, 6 Ta 2.85-2.88